# 1
Density functional theory data (GGA-PBE) for NaTb2Br6 after structural relaxation.

Output
The volume is 33.781 Å³ per atom. As for the crystal system: trigonal.

Cell and atoms, written as CIF:
```
data_NaTb2Br6
_chemical_formula_sum 'Na1 Tb2 Br6'
_cell_length_a 7.0769
_cell_length_b 7.0769
_cell_length_c 7.0097
_cell_angle_alpha 90.00
_cell_angle_beta 90.00
_cell_angle_gamma 120.00
_space_group_name_H-M_alt 'P -3 1 m'
_space_group_IT_number 162
_space_group_name_Hall '-P 3 2'
loop_
_atom_site_label
_atom_site_fract_x
_atom_site_fract_y
_atom_site_fract_z
Na1 0.0000 0.0000 0.0000
Tb1 0.3333 0.6667 0.5000
Br1 0.0000 0.3452 0.7391
```

---

# 2
Density functional theory data (GGA-PBE) for Na2TbBr6 after structural relaxation.

Output
The volume is 35.300 Å³ per atom. As for the crystal system: monoclinic.

Cell and atoms, written as CIF:
```
data_Na2TbBr6
_chemical_formula_sum 'Na4 Tb2 Br12'
_cell_length_a 12.558
_cell_length_b 4.311
_cell_length_c 13.121
_cell_angle_alpha 90.00
_cell_angle_beta 116.57
_cell_angle_gamma 90.00
_space_group_name_H-M_alt 'C 1 2/m 1'
_space_group_IT_number 12
loop_
_space_group_symop_operation_xyz
'x,y,z'
'-x,-y,-z'
'-x,y,-z'
'x,-y,z'
'x+1/2,y+1/2,z'
'-x+1/2,-y+1/2,-z'
'-x+1/2,y+1/2,-z'
'x+1/2,-y+1/2,z'
loop_
_atom_site_label
_atom_site_fract_x
_atom_site_fract_y
_atom_site_fract_z
Na1 0.131 0.000 0.334
Tb1 0.000 0.500 0.000
Br1 0.098 0.000 0.924
Br2 0.104 0.500 0.478
Br3 0.192 0.500 0.216
```

---

# 3
Density functional theory data (GGA-PBE) for NaTbBr2 after structural relaxation.

Output
The volume is 32.471 Å³ per atom. As for the crystal system: trigonal.

Cell and atoms, written as CIF:
```
data_NaTbBr2
_chemical_formula_sum 'Na3 Tb3 Br6'
_cell_length_a 3.7886
_cell_length_b 3.7886
_cell_length_c 31.3467
_cell_angle_alpha 90.00
_cell_angle_beta 90.00
_cell_angle_gamma 120.00
_space_group_name_H-M_alt 'R -3 m'
_space_group_IT_number 166
_space_group_name_Hall '-R 3 2"'
loop_
_atom_site_label
_atom_site_fract_x
_atom_site_fract_y
_atom_site_fract_z
Na1 0.0000 0.0000 0.0000
Tb1 0.0000 0.0000 0.5000
Br1 0.0000 0.0000 0.1046
```

---

# 4
Density functional theory data (GGA-PBE) for Na5TbBr8 after structural relaxation.

Output
The volume is 28.709 Å³ per atom. As for the crystal system: tetragonal.

Cell and atoms, written as CIF:
```
data_Na5TbBr8
_chemical_formula_sum 'Na10 Tb2 Br16'
_cell_length_a 9.573
_cell_length_b 9.573
_cell_length_c 8.772
_cell_angle_alpha 90.00
_cell_angle_beta 90.00
_cell_angle_gamma 90.00
_space_group_name_H-M_alt 'I -4'
_space_group_IT_number 82
loop_
_space_group_symop_operation_xyz
'x,y,z'
'y,-x,-z'
'-x,-y,z'
'-y,x,-z'
'x+1/2,y+1/2,z+1/2'
'y+1/2,-x+1/2,-z+1/2'
'-x+1/2,-y+1/2,z+1/2'
'-y+1/2,x+1/2,-z+1/2'
loop_
_atom_site_label
_atom_site_fract_x
_atom_site_fract_y
_atom_site_fract_z
Na1 0.000 0.000 0.000
Na2 0.181 0.739 0.646
Tb1 0.000 0.500 0.250
Br1 0.045 0.693 0.949
Br2 0.049 0.781 0.342
```

---

Listing size of the total moment for the structures above in their given order: 0.0; 1.6; 0.0; 0.0 Bohr magnetons per cell.
Listing raw formation energy for the structures above in their given order: -1.681; -1.434; -1.160; -1.600 eV per atom.